PbSeBr3 (PBE, relaxed); E above lowest polymorph = 0.011 eV per atom; symmetry = Pm-3m, No. 221; formation energy from raw total energies = -0.03 kJ/mol of atoms
1.0
5.4519 0.0000 0.0000
0.0000 5.4519 0.0000
0.0000 0.0000 5.4519
Pb Se Br
1 1 3
Direct
0.0000 0.0000 0.0000
0.5000 0.5000 0.5000
0.0000 0.5000 0.5000
0.5000 0.0000 0.5000
0.5000 0.5000 0.0000

Pb5Se5Br (PBE, relaxed); symmetry = C2/m, No. 12; formation energy from raw total energies = -45.87 kJ/mol of atoms
1.0
6.8184 -3.0749 0.0000
6.8184 3.0749 0.0000
-2.8942 0.0000 8.4201
Pb Se Br
5 5 1
Direct
0.0000 0.0000 0.0000
0.3242 0.3242 0.1860
0.3300 0.3300 0.6405
0.6700 0.6700 0.3595
0.6758 0.6758 0.8140
0.1624 0.1624 0.3308
0.1764 0.1764 0.8546
0.5000 0.5000 0.5000
0.8236 0.8236 0.1454
0.8376 0.8376 0.6692
0.5000 0.5000 0.0000

Pb2SeBr (PBE, relaxed); E above lowest polymorph = 0.086 eV per atom; symmetry = Pmm2, No. 25; formation energy from raw total energies = -40.25 kJ/mol of atoms
1.0
4.0332 0.0000 0.0000
0.0000 4.9632 0.0000
0.0000 0.0000 6.3699
Pb Se Br
2 1 1
Direct
0.0000 0.0000 0.0000
0.5000 0.5000 0.4611
0.5000 0.5000 0.0070
0.0000 0.0000 0.5023

Pb2SeBr (PBE, relaxed); E above lowest polymorph = 0.009 eV per atom; symmetry = C2/c, No. 15; formation energy from raw total energies = -47.69 kJ/mol of atoms
1.0
4.9635 -8.0699 0.0000
4.9635 8.0699 0.0000
-3.7737 0.0000 6.2750
Pb Se Br
8 4 4
Direct
0.0491 0.4252 0.2795
0.1759 0.3043 0.7225
0.3043 0.1759 0.2225
0.4252 0.0491 0.7795
0.5748 0.9509 0.2205
0.6957 0.8241 0.7775
0.8241 0.6957 0.2775
0.9509 0.5748 0.7205
0.0623 0.9377 0.7500
0.3129 0.6871 0.7500
0.6871 0.3129 0.2500
0.9377 0.0623 0.2500
0.1850 0.8150 0.2500
0.4410 0.5590 0.2500
0.5590 0.4410 0.7500
0.8150 0.1850 0.7500